Compound: CaNdTlGe
Source: Alexandria via LeMat-Bulk
Functional: PBE-GGA
Structure: relaxed

Cell lengths 5.358, 5.358, 5.358 Å; angles 60.00, 60.00, 60.00 degrees
Element x y z (fractional)
Ca (0.000, 0.000, 0.000)
Nd (0.500, 0.500, 0.500)
Tl (0.250, 0.250, 0.250)
Ge (0.750, 0.750, 0.750)

The mass density comes out at 7.0 g cm⁻³. The value obtained for the calculated formation energy is -0.4419 eV per atom. The value obtained for the volume is 27.2 Å³/atom.

Compound: MnCrB3
Source: Alexandria via LeMat-Bulk
Functional: PBE-GGA
Structure: relaxed

Cell lengths 3.663, 3.663, 3.663 Å; angles 90.00, 90.00, 90.00 degrees
Element x y z (fractional)
Mn (0.000, 0.000, 0.000)
Cr (0.500, 0.500, 0.500)
B (0.000, 0.000, 0.500)
B (0.000, 0.500, 0.000)
B (0.500, 0.000, 0.000)

The mass density comes out at 4.7 g cm⁻³. The value obtained for the calculated formation energy is 0.9829 eV per atom. The value obtained for the volume is 9.8 Å³/atom.